## CsAl3I (PBE)

Data for an optimized crystal structure of CsAl3I.

a b c (Å): 6.575 6.575 6.575
angles (deg): 90.00 90.00 90.00
Fractional positions:
Al (0.000, 0.000, 0.500)
Al (0.500, 0.000, 0.000)
I (0.500, 0.500, 0.500)
Al (0.000, 0.500, 0.000)
Cs (0.000, 0.000, 0.000)

- VASP energy (Ha/atom) = -0.04870
- size of the total moment (μB per formula unit) = 0.0
- volume (Å³/atom) = 56.8

## Mg2TeAu (PBE)

Data for an optimized crystal structure of Mg2TeAu.

a b c (Å): 4.001 4.001 6.032
angles (deg): 90.00 90.00 90.00
Fractional positions:
Au (0.500, 0.500, 0.863)
Mg (0.000, 0.000, 0.915)
Mg (0.500, 0.500, 0.304)
Te (0.000, 0.000, 0.418)

- VASP energy (Ha/atom) = -0.10552
- size of the total moment (μB per formula unit) = 0.0
- volume (Å³/atom) = 24.1

## Pu2H4Pd (PBE)

Data for an optimized crystal structure of Pu2H4Pd.

a b c (Å): 7.099 5.047 7.100
angles (deg): 90.00 138.35 90.00
Fractional positions:
H (0.250, 0.000, 0.750)
H (0.119, 0.750, 0.382)
Pu (0.106, 0.250, 0.394)
Pd (0.250, 0.750, 0.250)
H (0.619, 0.250, 0.882)
Pd (0.750, 0.250, 0.750)
Pu (0.393, 0.250, 0.106)
H (0.750, 0.500, 0.250)
H (0.881, 0.250, 0.618)
H (0.381, 0.750, 0.118)
Pu (0.607, 0.750, 0.894)
H (0.750, 0.000, 0.250)
Pu (0.894, 0.750, 0.606)
H (0.250, 0.500, 0.750)

- VASP energy (Ha/atom) = -0.26213
- size of the total moment (μB per formula unit) = 11.2
- volume (Å³/atom) = 12.1

## TeBr (PBE)

Data for an optimized crystal structure of TeBr.

a b c (Å): 3.806 5.969 7.573
angles (deg): 92.73 105.15 89.95
Fractional positions:
Te (0.909, 0.308, 0.565)
Br (0.931, 0.828, 0.609)
Br (0.194, 0.154, 0.114)
Te (0.087, 0.498, 0.906)

- VASP energy (Ha/atom) = -0.09164
- size of the total moment (μB per formula unit) = 0.0
- volume (Å³/atom) = 41.5

Question: Which of these has the lowest VASP energy?
Answer: Pu2H4Pd

Question: The lowest volume belongs to which entry?
Answer: Pu2H4Pd

Copy entry 2 word for word.
## Mg2TeAu (PBE)

Data for an optimized crystal structure of Mg2TeAu.

a b c (Å): 4.001 4.001 6.032
angles (deg): 90.00 90.00 90.00
Fractional positions:
Au (0.500, 0.500, 0.863)
Mg (0.000, 0.000, 0.915)
Mg (0.500, 0.500, 0.304)
Te (0.000, 0.000, 0.418)

- VASP energy (Ha/atom) = -0.10552
- size of the total moment (μB per formula unit) = 0.0
- volume (Å³/atom) = 24.1

Question: What is the volume in the second record?
Answer: 24.1 Å³/atom